CuC3 | GGA-PBEsol | optimized geometry

Lattice parameters (Å, degrees): 3.767 3.767 3.767 90.00 90.00 90.00
Fractional coordinates of all 4 atoms:
1 Cu 0.000 0.000 0.000
2 C 0.500 0.000 0.000
3 C 0.000 0.000 0.500
4 C 0.000 0.500 0.000

## Properties
* formation energy from the elements: 3768 meV/atom
* spin magnetization: 0.01 μB per formula unit

BaP2Pb | GGA-PBEsol | optimized geometry

Lattice parameters (Å, degrees): 6.770 6.770 6.770 104.31 112.11 112.11
Fractional coordinates of all 8 atoms:
1 Pb 0.500 0.750 0.250
2 Pb 0.000 0.000 0.000
3 P 0.562 0.687 0.625
4 P 0.062 0.375 0.937
5 P 0.438 0.063 0.125
6 P 0.938 0.875 0.313
7 Ba 0.500 0.250 0.750
8 Ba 0.000 0.500 0.500

## Properties
* formation energy from the elements: -281 meV/atom
* spin magnetization: 0.00 μB per formula unit

K2CaGaSb | GGA-PBEsol | optimized geometry

Lattice parameters (Å, degrees): 5.870 6.570 6.570 90.00 90.00 90.00
Last column: magnetic moment on the atom in μB.
Fractional coordinates of all 5 atoms:
1 Ga 0.500 0.500 0.500  0.27
2 Ca 0.500 0.000 0.000  0.05
3 K 0.000 0.500 0.000  0.01
4 K 0.000 0.000 0.500  0.01
5 Sb 0.000 0.000 0.000  0.02

## Properties
* formation energy (no corrections): 2.24 kcal/mol of atoms
* spin magnetization: 1.76 μB per formula unit

The highest spin magnetization belongs to which entry?
K2CaGaSb

Look up the spin magnetization of the second one.
0.00 μB per formula unit

spin magnetization of number 2 (BaP2Pb)?
0.00 μB per formula unit

spin magnetization of number 2 (BaP2Pb)?
0.00 μB per formula unit